[1]
The following is a DFT calculation (PBE) of NdIrRh3 after structural relaxation.

Computed properties:
- DFT formation energy: 0.23 eV/atom
- Crystal system: orthorhombic

abc: 6.458 13.844 4.767
angles: 90.00 90.00 90.00
Space group Cmcm (No. 63)
Asymmetric unit:
Nd1 0.000 0.101 0.250 (multiplicity 4)
Ir1 0.000 0.334 0.250 (multiplicity 4)
Rh1 0.000 0.500 0.000 (multiplicity 4)
Rh2 0.192 0.275 0.750 (multiplicity 8)

***

[2]
The following is a DFT calculation (PBE) of Hf4TiZn5 after structural relaxation.

Computed properties:
- DFT formation energy: -0.19 eV/atom
- Crystal system: tetragonal

abc: 3.269 3.269 16.396
angles: 90.00 90.00 90.00
Space group P4/mmm (No. 123)
Asymmetric unit:
Hf1 0.000 0.000 0.102 (multiplicity 2)
Hf2 0.000 0.000 0.306 (multiplicity 2)
Ti1 0.000 0.000 0.500 (multiplicity 1)
Zn1 0.500 0.500 0.000 (multiplicity 1)
Zn2 0.500 0.500 0.204 (multiplicity 2)
Zn3 0.500 0.500 0.410 (multiplicity 2)

***

[3]
The following is a DFT calculation (PBE) of CsRb2NaP after structural relaxation.

Computed properties:
- DFT formation energy: -0.05 eV/atom
- Crystal system: tetragonal

abc: 6.924 6.924 5.689
angles: 90.00 90.00 90.00
Space group P4/mmm (No. 123)
Asymmetric unit:
Cs1 0.000 0.000 0.000 (multiplicity 1)
Rb1 0.000 0.500 0.500 (multiplicity 2)
Na1 0.500 0.500 0.000 (multiplicity 1)
P1 0.500 0.500 0.500 (multiplicity 1)

***

[4]
The following is a DFT calculation (PBE) of Sn2SeCl2 after structural relaxation.

Computed properties:
- Relative energy among the computed polymorphs: 0.027 eV/f.u.
- Raw formation energy: -0.732 eV per atom
- Crystal system: monoclinic

abc: 8.414 11.094 7.027
angles: 90.00 94.51 90.00
Space group P2_1/c (No. 14)
Asymmetric unit:
Sn1 0.006 0.101 0.261 (multiplicity 4)
Sn2 0.412 0.597 0.762 (multiplicity 4)
Se1 0.114 0.639 0.887 (multiplicity 4)
Cl1 0.250 0.002 0.916 (multiplicity 4)
Cl2 0.414 0.130 0.374 (multiplicity 4)

***

[5]
The following is a DFT calculation (PBE) of KLi2Tc after structural relaxation.

Computed properties:
- Relative energy among the computed polymorphs: 0.000 eV/f.u.
- DFT formation energy: 0.65 eV/atom
- Crystal system: orthorhombic

abc: 3.852 3.865 10.973
angles: 90.00 90.00 90.00
Space group Cmmm (No. 65)
Asymmetric unit:
K1 0.000 0.000 0.000 (multiplicity 2)
Li1 0.000 0.500 0.310 (multiplicity 4)
Tc1 0.000 0.000 0.500 (multiplicity 2)

***

[6]
The following is a DFT calculation (PBE) of AcTb5Pr2 after structural relaxation.

Computed properties:
- Relative energy among the computed polymorphs: 0.000 eV/f.u.
- DFT formation energy: 0.03 eV/atom
- Crystal system: orthorhombic

abc: 7.292 14.603 5.177
angles: 90.00 90.00 90.00
Space group Pbam (No. 55)
Asymmetric unit:
Ac1 0.000 0.000 0.000 (multiplicity 2)
Tb1 0.000 0.500 0.000 (multiplicity 2)
Tb2 0.005 0.253 0.000 (multiplicity 4)
Tb3 0.249 0.873 0.500 (multiplicity 4)
Pr1 0.244 0.628 0.500 (multiplicity 4)

***

[7]
The following is a DFT calculation (PBE) of RbCdSiHg2 after structural relaxation.

Computed properties:
- Raw formation energy: 0.094 eV per atom
- Crystal system: tetragonal

abc: 5.600 5.600 5.164
angles: 90.00 90.00 90.00
Space group P4/mmm (No. 123)
Asymmetric unit:
Rb1 0.000 0.000 0.000 (multiplicity 1)
Cd1 0.500 0.500 0.000 (multiplicity 1)
Si1 0.500 0.500 0.500 (multiplicity 1)
Hg1 0.000 0.500 0.500 (multiplicity 2)

***

[8]
The following is a DFT calculation (PBE) of ThGa3PtAu after structural relaxation.

Computed properties:
- DFT formation energy: -0.36 eV/atom
- Crystal system: orthorhombic

abc: 6.726 12.324 6.068
angles: 90.00 90.00 90.00
Space group Cmcm (No. 63)
Asymmetric unit:
Th1 0.000 0.200 0.250 (multiplicity 4)
Ga1 0.000 0.345 0.750 (multiplicity 4)
Ga2 0.206 0.000 0.000 (multiplicity 8)
Pt1 0.000 0.140 0.750 (multiplicity 4)
Au1 0.000 0.430 0.250 (multiplicity 4)

***

[9]
The following is a DFT calculation (PBE) of Fe4HgIr after structural relaxation.

Computed properties:
- DFT formation energy: 0.22 eV/atom
- Crystal system: cubic

abc: 6.892 6.892 6.892
angles: 90.00 90.00 90.00
Space group F-43m (No. 216)
Asymmetric unit:
Fe1 0.125 0.125 0.125 (multiplicity 16)
Hg1 0.250 0.250 0.750 (multiplicity 4)
Ir1 0.000 0.000 0.500 (multiplicity 4)

***

[10]
The following is a DFT calculation (PBE) of Ti3Mn after structural relaxation.

Computed properties:
- DFT formation energy: -0.10 eV/atom
- Crystal system: tetragonal

abc: 3.012 3.012 6.687
angles: 90.00 90.00 90.00
Space group P4/mmm (No. 123)
Asymmetric unit:
Ti1 0.000 0.000 0.000 (multiplicity 1)
Ti2 0.500 0.500 0.287 (multiplicity 2)
Mn1 0.000 0.000 0.500 (multiplicity 1)

***

[11]
The following is a DFT calculation (PBE) of Mn2Pd4Pt3 after structural relaxation.

Computed properties:
- DFT formation energy: -0.22 eV/atom
- Crystal system: triclinic

abc: 3.990 4.802 8.297
angles: 106.40 90.11 114.54
Space group P-1 (No. 2)
Asymmetric unit:
Mn1 0.165 0.331 0.222 (multiplicity 2)
Pd1 0.166 0.333 0.892 (multiplicity 2)
Pd2 0.496 0.993 0.331 (multiplicity 2)
Pt1 0.167 0.335 0.552 (multiplicity 2)
Pt2 0.500 0.000 0.000 (multiplicity 1)